# NiBiSe2N

A relaxed NiBiSe2N crystal (PBE, the Alexandria database).

Results
Distance to the lowest polymorph of the same formula ... 0.0000 eV per atom
Theoretical density ... 7.9 g/cm³
Formation energy from raw total energies ... 0.343 eV per atom
Size of the total moment ... 0.00 μB per formula unit

abc: 5.102 5.102 3.549
angles: 90.00 90.00 90.00
Positions (direct):
Ni  0.000  0.000  0.000
Bi  0.500  0.500  0.500
Se  0.000  0.500  0.000
Se  0.500  0.000  0.000
N  0.000  0.000  0.500

# Tl4HgTe2Se

A relaxed Tl4HgTe2Se crystal (PBE, the Alexandria database).

Results
Theoretical density ... 8.5 g/cm³
Formation energy from raw total energies ... -0.191 eV per atom
Size of the total moment ... 0.00 μB per formula unit

abc: 7.721 4.550 8.234
angles: 90.00 113.33 90.00
Positions (direct):
Tl  0.237  0.000  0.261
Tl  0.252  0.500  0.729
Tl  0.748  0.500  0.271
Tl  0.763  0.000  0.739
Hg  0.000  0.500  0.000
Te  0.500  0.000  0.000
Te  0.500  0.500  0.500
Se  0.000  0.000  0.500

# DyPd4

A relaxed DyPd4 crystal (PBE, the Alexandria database).

Results
ΔE_f ... -0.67 eV per atom
Theoretical density ... 11.2 g/cm³
Size of the total moment ... 0.00 μB per formula unit

abc: 7.817 7.817 7.817
angles: 147.46 137.10 54.87
Positions (direct):
Dy  0.356  0.106  0.250
Dy  0.644  0.894  0.750
Pd  0.000  0.500  0.500
Pd  0.142  0.892  0.250
Pd  0.186  0.696  0.490
Pd  0.294  0.304  0.990
Pd  0.500  0.500  0.000
Pd  0.706  0.696  0.010
Pd  0.814  0.304  0.510
Pd  0.858  0.108  0.750

# ScPa2AsN5

A relaxed ScPa2AsN5 crystal (PBE, the Alexandria database).

Results
Theoretical density ... 9.2 g/cm³
Formation energy from raw total energies ... -1.009 eV per atom
Size of the total moment ... 0.00 μB per formula unit

abc: 6.805 6.805 10.524
angles: 90.00 90.00 151.24
Positions (direct):
Sc  0.210  0.790  0.500
Sc  0.790  0.210  0.000
Pa  0.122  0.878  0.197
Pa  0.137  0.863  0.784
Pa  0.863  0.137  0.284
Pa  0.878  0.122  0.697
As  0.483  0.517  0.985
As  0.517  0.483  0.485
N  0.038  0.962  0.594
N  0.287  0.713  0.149
N  0.298  0.702  0.846
N  0.372  0.628  0.514
N  0.493  0.507  0.289
N  0.507  0.493  0.789
N  0.628  0.372  0.014
N  0.702  0.298  0.346
N  0.713  0.287  0.649
N  0.962  0.038  0.094

# AgSbRu2

A relaxed AgSbRu2 crystal (PBE, the Alexandria database).

Results
Theoretical density ... 10.6 g/cm³
Formation energy from raw total energies ... 0.385 eV per atom
Size of the total moment ... 0.00 μB per formula unit

abc: 3.041 4.099 5.617
angles: 90.00 104.36 90.00
Positions (direct):
Ag  0.000  0.000  0.000
Sb  0.000  0.000  0.500
Ru  0.384  0.500  0.745
Ru  0.616  0.500  0.255

# Zn6IrAu3

A relaxed Zn6IrAu3 crystal (PBE, the Alexandria database).

Results
Distance to the lowest polymorph of the same formula ... 0.0000 eV per atom
ΔE_f ... -0.18 eV per atom
Theoretical density ... 12.5 g/cm³
Size of the total moment ... 0.00 μB per formula unit

abc: 8.399 4.081 9.148
angles: 90.00 96.12 90.00
Positions (direct):
Zn  0.047  0.250  0.402
Zn  0.157  0.750  0.194
Zn  0.274  0.250  0.001
Zn  0.358  0.750  0.821
Zn  0.363  0.250  0.291
Zn  0.446  0.250  0.602
Zn  0.554  0.750  0.398
Zn  0.637  0.750  0.709
Zn  0.642  0.250  0.179
Zn  0.726  0.750  0.999
Zn  0.843  0.250  0.806
Zn  0.953  0.750  0.598
Ir  0.447  0.750  0.116
Ir  0.553  0.250  0.884
Au  0.042  0.750  0.899
Au  0.153  0.250  0.704
Au  0.256  0.750  0.486
Au  0.744  0.250  0.514
Au  0.847  0.750  0.296
Au  0.958  0.250  0.101